# 1
Compound: SrIr3
Source: Alexandria via LeMat-Bulk
Functional: GGA-PBE
Structure: optimized geometry

Output
Crystal system = cubic
DFT formation energy = 3624 meV per atom
V = 34.4 Å³ per atom
VASP energy = -3.443 eV per atom

```
data_SrIr3
_chemical_formula_sum 'Sr1 Ir3'
_symmetry_space_group_name_H-M 'P m -3 m'
_symmetry_Int_Tables_number 221
_symmetry_space_group_name_Hall '-P 4 2 3'
_cell_length_a 5.165
_cell_length_b 5.165
_cell_length_c 5.165
_cell_angle_alpha 90.00
_cell_angle_beta 90.00
_cell_angle_gamma 90.00
loop_
_atom_site_label
_atom_site_type_symbol
_atom_site_fract_x
_atom_site_fract_y
_atom_site_fract_z
Sr1 Sr 0.000 0.000 0.000
Ir1 Ir 0.000 0.000 0.500
```

***

# 2
Compound: Sr5Ir3
Source: Alexandria via LeMat-Bulk
Functional: GGA-PBE
Structure: optimized geometry

Output
Crystal system = orthorhombic
DFT formation energy = 103 meV per atom
V = 27.9 Å³ per atom
VASP energy = -4.271 eV per atom

```
data_Sr5Ir3
_chemical_formula_sum 'Sr10 Ir6'
_symmetry_space_group_name_H-M 'C m m m'
_symmetry_Int_Tables_number 65
_symmetry_space_group_name_Hall '-C 2 2'
_cell_length_a 8.050
_cell_length_b 11.447
_cell_length_c 4.852
_cell_angle_alpha 90.00
_cell_angle_beta 90.00
_cell_angle_gamma 90.00
loop_
_atom_site_label
_atom_site_type_symbol
_atom_site_fract_x
_atom_site_fract_y
_atom_site_fract_z
Sr1 Sr 0.000 0.000 0.000
Sr2 Sr 0.205 0.500 0.500
Sr3 Sr 0.250 0.250 0.000
Ir1 Ir 0.000 0.184 0.500
Ir2 Ir 0.000 0.500 0.000
```

***

> Among the records above, which one has the highest V?

SrIr3